Computed, not measured: Er2OsC2 at its PBEsol-relaxed geometry at the meta-GGA SCAN level of DFT.

Summary:
VASP energy	-39.073	eV per atom
formation energy	-0.521	eV/atom

Cell: 6.354 5.005 9.594 Å, 90.00 90.00 90.00°
Element x y z (fractional)
Er 0.028 0.250 0.218
Er 0.181 0.250 0.553
Er 0.319 0.750 0.053
Er 0.472 0.750 0.718
Er 0.528 0.250 0.282
Er 0.681 0.250 0.947
Er 0.819 0.750 0.447
Er 0.972 0.750 0.782
Os 0.221 0.250 0.868
Os 0.279 0.750 0.368
Os 0.721 0.250 0.632
Os 0.779 0.750 0.132
C 0.043 0.750 0.242
C 0.171 0.750 0.557
C 0.329 0.250 0.057
C 0.457 0.250 0.742
C 0.543 0.750 0.258
C 0.671 0.750 0.943
C 0.829 0.250 0.443
C 0.957 0.250 0.758

***

Computed, not measured: Er12Re5C15 at its PBEsol-relaxed geometry at the meta-GGA SCAN level of DFT.

Summary:
VASP energy	-35.211	eV per atom
formation energy	-0.491	eV/atom

Cell: 10.554 10.554 4.971 Å, 90.00 90.00 120.00°
Element x y z (fractional)
Er 0.000 0.429 0.000
Er 0.000 0.795 0.000
Er 0.186 0.730 0.500
Er 0.205 0.205 0.000
Er 0.270 0.456 0.500
Er 0.429 0.000 0.000
Er 0.456 0.270 0.500
Er 0.544 0.814 0.500
Er 0.571 0.571 0.000
Er 0.730 0.186 0.500
Er 0.795 0.000 0.000
Er 0.814 0.544 0.500
Re 0.000 0.152 0.500
Re 0.152 0.000 0.500
Re 0.333 0.667 0.000
Re 0.667 0.333 0.000
Re 0.848 0.848 0.500
C 0.000 0.335 0.500
C 0.000 0.463 0.500
C 0.000 0.783 0.500
C 0.187 0.722 0.000
C 0.217 0.217 0.500
C 0.278 0.466 0.000
C 0.335 0.000 0.500
C 0.463 0.000 0.500
C 0.466 0.278 0.000
C 0.534 0.813 0.000
C 0.537 0.537 0.500
C 0.665 0.665 0.500
C 0.722 0.187 0.000
C 0.783 0.000 0.500
C 0.813 0.534 0.000

***

Computed, not measured: Er5Re2C7 at its PBEsol-relaxed geometry at the meta-GGA SCAN level of DFT.

Summary:
VASP energy	-33.703	eV per atom
formation energy	-0.518	eV/atom

Cell: 8.173 8.173 3.342 Å, 90.00 90.00 122.28°
Element x y z (fractional)
Er 0.000 0.000 0.000
Er 0.166 0.424 0.500
Er 0.424 0.166 0.500
Er 0.576 0.834 0.500
Er 0.834 0.576 0.500
Re 0.215 0.785 0.000
Re 0.785 0.215 0.000
C 0.000 0.500 0.000
C 0.125 0.875 0.500
C 0.328 0.328 0.000
C 0.500 0.000 0.000
C 0.500 0.500 0.000
C 0.672 0.672 0.000
C 0.875 0.125 0.500

***

Computed, not measured: ErRu3C at its PBEsol-relaxed geometry at the meta-GGA SCAN level of DFT.

Summary:
VASP energy	-33.287	eV per atom
formation energy	-0.303	eV/atom

Cell: 4.091 4.091 4.091 Å, 90.00 90.00 90.00°
Element x y z (fractional)
Er 0.000 0.000 0.000
Ru 0.000 0.500 0.500
Ru 0.500 0.000 0.500
Ru 0.500 0.500 0.000
C 0.500 0.500 0.500

***

Computed, not measured: Er7Ru2C11 at its PBEsol-relaxed geometry at the meta-GGA SCAN level of DFT.

Summary:
VASP energy	-27.060	eV per atom
formation energy	-0.403	eV/atom

Cell: 8.282 8.282 19.481 Å, 90.00 90.00 156.59°
Element x y z (fractional)
Er 0.018 0.982 0.627
Er 0.018 0.982 0.873
Er 0.163 0.837 0.020
Er 0.163 0.837 0.480
Er 0.217 0.783 0.655
Er 0.217 0.783 0.845
Er 0.391 0.609 0.750
Er 0.609 0.391 0.250
Er 0.783 0.217 0.155
Er 0.783 0.217 0.345
Er 0.837 0.163 0.520
Er 0.837 0.163 0.980
Er 0.982 0.018 0.127
Er 0.982 0.018 0.373
Ru 0.426 0.574 0.250
Ru 0.500 0.500 0.000
Ru 0.500 0.500 0.500
Ru 0.574 0.426 0.750
C 0.004 0.996 0.250
C 0.226 0.774 0.250
C 0.296 0.704 0.063
C 0.296 0.704 0.437
C 0.309 0.691 0.250
C 0.364 0.636 0.624
C 0.364 0.636 0.876
C 0.378 0.622 0.082
C 0.378 0.622 0.418
C 0.424 0.576 0.579
C 0.424 0.576 0.921
C 0.576 0.424 0.079
C 0.576 0.424 0.421
C 0.622 0.378 0.582
C 0.622 0.378 0.918
C 0.636 0.364 0.124
C 0.636 0.364 0.376
C 0.691 0.309 0.750
C 0.704 0.296 0.563
C 0.704 0.296 0.937
C 0.774 0.226 0.750
C 0.996 0.004 0.750

***

Computed, not measured: ErSiRu2C at its PBEsol-relaxed geometry at the meta-GGA SCAN level of DFT.

Summary:
formation energy without anion corrections	-700.7	meV/atom
VASP energy	-28.722	eV per atom

Cell: 5.819 5.819 7.048 Å, 90.00 90.00 142.56°
Element x y z (fractional)
Er 0.047 0.953 0.750
Er 0.953 0.047 0.250
Si 0.232 0.768 0.250
Si 0.768 0.232 0.750
Ru 0.336 0.664 0.557
Ru 0.336 0.664 0.943
Ru 0.664 0.336 0.057
Ru 0.664 0.336 0.443
C 0.500 0.500 0.000
C 0.500 0.500 0.500

***

Computed, not measured: EuC2 at its PBEsol-relaxed geometry at the meta-GGA SCAN level of DFT.

Summary:
VASP energy	-24.765	eV per atom
formation energy	-0.128	eV/atom

Cell: 4.207 4.207 4.207 Å, 125.85 125.85 80.13°
Element x y z (fractional)
Eu 0.000 0.000 0.000
C 0.401 0.401 0.000
C 0.599 0.599 0.000

***

Computed, not measured: EuC6 at its PBEsol-relaxed geometry at the meta-GGA SCAN level of DFT.

Summary:
VASP energy	-16.429	eV per atom
formation energy	-0.099	eV/atom

Cell: 4.321 4.321 9.310 Å, 90.00 90.00 120.00°
Element x y z (fractional)
Eu 0.333 0.667 0.250
Eu 0.667 0.333 0.750
C 0.000 0.333 0.000
C 0.000 0.333 0.500
C 0.000 0.667 0.000
C 0.000 0.667 0.500
C 0.333 0.000 0.000
C 0.333 0.000 0.500
C 0.333 0.333 0.000
C 0.333 0.333 0.500
C 0.667 0.000 0.000
C 0.667 0.000 0.500
C 0.667 0.667 0.000
C 0.667 0.667 0.500

***

Computed, not measured: Na3EuC3O9 at its PBEsol-relaxed geometry at the meta-GGA SCAN level of DFT.

Summary:
formation energy without anion corrections	-2033.1	meV/atom
VASP energy	-11.579	eV per atom

Cell: 9.984 6.573 6.573 Å, 113.96 90.00 90.00°
Element x y z (fractional)
Na 0.000 0.000 0.000
Na 0.250 0.696 0.663
Na 0.250 0.856 0.268
Na 0.500 0.000 0.000
Na 0.750 0.268 0.856
Na 0.750 0.663 0.696
Eu 0.250 0.293 0.838
Eu 0.750 0.838 0.293
C 0.001 0.536 0.943
C 0.250 0.305 0.283
C 0.499 0.536 0.943
C 0.501 0.943 0.536
C 0.750 0.283 0.305
C 0.999 0.943 0.536
O 0.010 0.344 0.949
O 0.110 0.628 0.912
O 0.113 0.960 0.633
O 0.250 0.119 0.103
O 0.250 0.301 0.476
O 0.250 0.490 0.258
O 0.387 0.960 0.633
O 0.390 0.628 0.912
O 0.490 0.344 0.949
O 0.510 0.949 0.344
O 0.610 0.912 0.628
O 0.613 0.633 0.960
O 0.750 0.103 0.119
O 0.750 0.258 0.490
O 0.750 0.476 0.301
O 0.887 0.633 0.960
O 0.890 0.912 0.628
O 0.990 0.949 0.344

***

Computed, not measured: EuCO3 at its PBEsol-relaxed geometry at the meta-GGA SCAN level of DFT.

Summary:
formation energy without anion corrections	-2395.3	meV/atom
VASP energy	-18.896	eV per atom

Cell: 5.837 5.066 8.382 Å, 90.00 90.00 90.00°
Element x y z (fractional)
Eu 0.246 0.250 0.085
Eu 0.254 0.750 0.585
Eu 0.746 0.250 0.415
Eu 0.754 0.750 0.915
C 0.087 0.250 0.743
C 0.413 0.750 0.243
C 0.587 0.250 0.757
C 0.913 0.750 0.257
O 0.089 0.028 0.821
O 0.089 0.472 0.821
O 0.096 0.250 0.589
O 0.404 0.750 0.089
O 0.411 0.528 0.321
O 0.411 0.972 0.321
O 0.589 0.028 0.679
O 0.589 0.472 0.679
O 0.596 0.250 0.911
O 0.904 0.750 0.411
O 0.911 0.528 0.179
O 0.911 0.972 0.179

***

Computed, not measured: FeSiCF2 at its PBEsol-relaxed geometry at the meta-GGA SCAN level of DFT.

Summary:
formation energy without anion corrections	58.9	meV/atom
VASP energy	-9.006	eV per atom

Cell: 3.507 3.507 5.288 Å, 90.00 90.00 90.00°
Element x y z (fractional)
Fe 0.000 0.000 0.000
Si 0.000 0.000 0.500
C 0.500 0.500 0.500
F 0.000 0.500 0.000
F 0.500 0.000 0.000

***

Computed, not measured: GaCF2 at its PBEsol-relaxed geometry at the meta-GGA SCAN level of DFT.

Summary:
formation energy without anion corrections	324.5	meV/atom
VASP energy	-8.057	eV per atom
ΔE to the lowest computed polymorph	606	meV per atom

Cell: 7.294 7.294 7.294 Å, 20.78 20.78 20.78°
Element x y z (fractional)
Ga 0.000 0.000 0.000
C 0.500 0.500 0.500
F 0.418 0.418 0.418
F 0.582 0.582 0.582

***

| no. | total moment (μB per cell) |
| --- | --- |
| 1 | 0.0 |
| 2 | 0.0 |
| 3 | 0.0 |
| 4 | 0.0 |
| 5 | 0.0 |
| 6 | 0.0 |
| 7 | 6.8 |
| 8 | 14.0 |
| 9 | 12.0 |
| 10 | 28.0 |
| 11 | 4.3 |
| 12 | 0.0 |